Entry from Alexandria: an optimized crystal structure of CaMoF5 (GGA+U).

abc: 9.4163 6.8570 7.9783
angles: 90.00 114.90 90.00
Space group C2/c (No. 15)
Asymmetric unit:
Ca  0.0000  0.0351  0.2500 x4
Mo  0.0000  0.5000  0.0000 x4
F  0.0000  0.3957  0.2500 x4
F  0.0100  0.1962  0.9667 x8
F  0.2414  0.4759  0.6256 x8

## Properties
Distance to the lowest polymorph of the same formula (meV/atom): 0.0
Crystal system: monoclinic